1.
ZnOs3C: optimized geometry, PBE-GGA. Values from VASP.

Quantum ESPRESSO input file:
```
&SYSTEM
  ibrav = 0, nat = 5, ntyp = 3
/
ATOMIC_SPECIES
Zn 65.41 Zn.upf
Os 190.23 Os.upf
C 12.01 C.upf
CELL_PARAMETERS angstrom
-3.208 -3.092 0.488
1.330 -0.713 4.220
-2.834 3.165 1.428
ATOMIC_POSITIONS angstrom
Zn 0.000 0.000 0.000
Os 0.665 -0.357 2.110
Os -1.417 1.583 0.714
Os -1.604 -1.546 0.244
C -2.356 -0.320 3.068
```

**Energy**: -26.4 eV per formula unit
**DOS at the Fermi energy**: 5.61 states/eV/f.u.
**Polymorph energy (0 for the lowest one)**: 15.00 eV per formula unit
**DFT formation energy**: 3.5533 eV per atom


2.
ZnOsC2: optimized geometry, PBE-GGA. Values from VASP.

Quantum ESPRESSO input file:
```
&SYSTEM
  ibrav = 0, nat = 8, ntyp = 3
/
ATOMIC_SPECIES
Zn 65.41 Zn.upf
Os 190.23 Os.upf
C 12.01 C.upf
CELL_PARAMETERS angstrom
-2.745 0.847 3.781
1.542 -4.013 2.018
2.831 0.729 4.874
ATOMIC_POSITIONS angstrom
Zn -0.602 -1.583 2.900
Zn 1.886 -2.433 4.896
Os 0.000 0.000 0.000
Os -0.258 -0.004 5.777
C -0.915 0.241 3.972
C 1.429 -2.251 2.814
C 1.616 -0.494 5.756
C 1.127 -2.370 8.803
```

**Energy**: -27.5 eV per formula unit
**DOS at the Fermi energy**: 0.47 states/eV/f.u.
**DFT formation energy**: 0.8567 eV per atom


3.
Zn3OsC: optimized geometry, PBE-GGA. Values from VASP.

Quantum ESPRESSO input file:
```
&SYSTEM
  ibrav = 0, nat = 5, ntyp = 3
/
ATOMIC_SPECIES
Zn 65.41 Zn.upf
Os 190.23 Os.upf
C 12.01 C.upf
CELL_PARAMETERS angstrom
-3.004 -2.709 0.450
1.140 -0.623 3.857
-2.498 2.973 1.218
ATOMIC_POSITIONS angstrom
Zn 0.570 -0.311 1.929
Zn -1.249 1.487 0.609
Zn -1.502 -1.354 0.225
Os -2.181 -0.179 2.763
C 0.000 0.000 0.000
```

**Energy**: -18.9 eV per formula unit
**DOS at the Fermi energy**: 3.25 states/eV/f.u.
**Polymorph energy (0 for the lowest one)**: 0.00 eV per formula unit
**DFT formation energy**: 1.0752 eV per atom


4.
ZnOs2C: optimized geometry, PBE-GGA. Values from VASP.

Quantum ESPRESSO input file:
```
&SYSTEM
  ibrav = 0, nat = 4, ntyp = 3
/
ATOMIC_SPECIES
Zn 65.41 Zn.upf
Os 190.23 Os.upf
C 12.01 C.upf
CELL_PARAMETERS angstrom
2.121 -3.480 -0.305
-1.771 -3.562 0.938
-0.887 -2.682 -2.953
ATOMIC_POSITIONS angstrom
Zn -0.268 -4.861 -1.160
Os -0.134 -2.431 -0.580
Os -0.402 -7.292 -1.740
C 0.000 0.000 0.000
```

**Energy**: -27.3 eV per formula unit
**DOS at the Fermi energy**: 3.71 states/eV/f.u.
**Polymorph energy (0 for the lowest one)**: 0.89 eV per formula unit
**DFT formation energy**: 1.4031 eV per atom


- energy of number 4 (ZnOs2C)?
  -27.3 eV per formula unit